No. 1
Material: UPa2I8
Method: DFT, PBE
State: optimized geometry

## Properties
E_form (uncorrected) ... -58 kJ per mole of atoms
Density ... 5.03 g/cm³
Total moment ... 3.05 μB/cell
Total DFT energy (no corrections) ... -98.57 eV per cell

```
data_UPa2I8
_chemical_formula_sum 'U2 Pa4 I16'
_symmetry_space_group_name_H-M 'C 1 2/m 1'
_symmetry_Int_Tables_number 12
_cell_length_a 14.009
_cell_length_b 12.566
_cell_length_c 6.440
_cell_angle_alpha 90.00
_cell_angle_beta 93.54
_cell_angle_gamma 90.00
loop_
_symmetry_equiv_pos_as_xyz
'x,y,z'
'-x,-y,-z'
'-x,y,-z'
'x,-y,z'
'x+1/2,y+1/2,z'
'-x+1/2,-y+1/2,-z'
'-x+1/2,y+1/2,-z'
'x+1/2,-y+1/2,z'
loop_
_atom_site_label
_atom_site_type_symbol
_atom_site_fract_x
_atom_site_fract_y
_atom_site_fract_z
U1 U 0.000 0.000 0.000
Pa1 Pa 0.170 0.000 0.171
I1 I 0.089 0.214 0.237
I2 I 0.122 0.500 0.740
I3 I 0.164 0.000 0.693
```

***

No. 2
Material: UPaI6
Method: DFT, PBE
State: optimized geometry

## Properties
E_form (uncorrected) ... -76 kJ per mole of atoms
Density ... 5.29 g/cm³
Total moment ... 10.00 μB/cell
Total DFT energy (no corrections) ... -72.71 eV per cell

```
data_UPaI6
_chemical_formula_sum 'U2 Pa2 I12'
_symmetry_space_group_name_H-M 'C 1 2/m 1'
_symmetry_Int_Tables_number 12
_cell_length_a 7.448
_cell_length_b 14.969
_cell_length_c 7.489
_cell_angle_alpha 90.00
_cell_angle_beta 112.21
_cell_angle_gamma 90.00
loop_
_symmetry_equiv_pos_as_xyz
'x,y,z'
'-x,-y,-z'
'-x,y,-z'
'x,-y,z'
'x+1/2,y+1/2,z'
'-x+1/2,-y+1/2,-z'
'-x+1/2,y+1/2,-z'
'x+1/2,-y+1/2,z'
loop_
_atom_site_label
_atom_site_type_symbol
_atom_site_fract_x
_atom_site_fract_y
_atom_site_fract_z
U1 U 0.000 0.000 0.000
Pa1 Pa 0.000 0.500 0.500
I1 I 0.248 0.500 0.252
I2 I 0.249 0.346 0.748
```

***

No. 3
Material: PaVI
Method: DFT, PBE
State: optimized geometry

## Properties
E_form (uncorrected) ... -24 kJ per mole of atoms
Density ... 7.61 g/cm³
Total moment ... 0.00 μB/cell
Total DFT energy (no corrections) ... -41.80 eV per cell

```
data_PaVI
_chemical_formula_sum 'Pa2 V2 I2'
_symmetry_space_group_name_H-M 'P -1'
_symmetry_Int_Tables_number 2
_cell_length_a 4.058
_cell_length_b 4.058
_cell_length_c 11.810
_cell_angle_alpha 86.93
_cell_angle_beta 86.97
_cell_angle_gamma 66.76
loop_
_symmetry_equiv_pos_as_xyz
'x,y,z'
'-x,-y,-z'
loop_
_atom_site_label
_atom_site_type_symbol
_atom_site_fract_x
_atom_site_fract_y
_atom_site_fract_z
Pa1 Pa 0.047 0.047 0.147
V1 V 0.328 0.328 0.024
I1 I 0.304 0.306 0.667
```

***

No. 4
Material: Y2PaI
Method: DFT, PBE
State: optimized geometry

## Properties
E_form (uncorrected) ... 15 kJ per mole of atoms
Density ... 7.42 g/cm³
Total moment ... 0.00 μB/cell
Total DFT energy (no corrections) ... -70.02 eV per cell

```
data_Y2PaI
_chemical_formula_sum 'Y6 Pa3 I3'
_symmetry_space_group_name_H-M 'R -3 m'
_symmetry_Int_Tables_number 166
_symmetry_space_group_name_Hall '-R 3 2"'
_cell_length_a 3.4624
_cell_length_b 3.4624
_cell_length_c 34.6674
_cell_angle_alpha 90.00
_cell_angle_beta 90.00
_cell_angle_gamma 120.00
loop_
_atom_site_label
_atom_site_type_symbol
_atom_site_fract_x
_atom_site_fract_y
_atom_site_fract_z
Y1 Y 0.0000 0.0000 0.0940
Pa1 Pa 0.0000 0.0000 0.0000
I1 I 0.0000 0.0000 0.5000
```